[1]
This record from Alexandria describes a relaxed structure of LiTbVRu. The functional is GGA-PBE.

Output
density of states at the Fermi level: 4.59 states/eV per cell
calculated total energy: -24.6 eV for the cell shown
spin magnetization: 1.6 μB per cell
V: 17.3 A^3/atom
energy of formation: 0.08 eV/atom
SG: No. 216

abc: 4.609 4.609 4.609
angles: 60.00 60.00 60.00
Atoms (fractional coordinates):
Ru 0.500 0.500 0.500
Li 0.000 0.000 0.000
Tb 0.750 0.750 0.750
V 0.250 0.250 0.250

[2]
This record from Alexandria describes a relaxed structure of Ba3SmU2O9. The functional is GGA-PBE.

Output
density of states at the Fermi level: 7.74 states/eV per cell
calculated total energy: -124.5 eV for the cell shown
spin magnetization: 3.0 μB per cell
V: 17.7 A^3/atom
SG: No. 164

abc: 6.305 6.305 7.723
angles: 90.00 90.00 120.00
Atoms (fractional coordinates):
Ba 0.333 0.667 0.660
Ba 0.000 0.000 0.000
Ba 0.667 0.333 0.340
Sm 0.000 0.000 0.500
U 0.333 0.667 0.166
U 0.667 0.333 0.834
O 0.828 0.172 0.673
O 0.828 0.656 0.673
O 0.344 0.172 0.673
O 0.656 0.828 0.327
O 0.172 0.344 0.327
O 0.172 0.828 0.327
O 0.500 0.000 0.000
O 0.000 0.500 0.000
O 0.500 0.500 0.000

[3]
This record from Alexandria describes a relaxed structure of SiIrNO2. The functional is GGA-PBE.

Output
density of states at the Fermi level: 3.20 states/eV per cell
calculated total energy: -33.2 eV for the cell shown
spin magnetization: 1.2 μB per cell
V: 9.3 A^3/atom
SG: No. 123

abc: 3.443 3.443 3.924
angles: 90.00 90.00 90.00
Atoms (fractional coordinates):
Si 0.000 0.000 0.000
Ir 0.500 0.500 0.500
O 0.000 0.500 0.000
O 0.500 0.000 0.000
N 0.000 0.000 0.500

[4]
This record from Alexandria describes a relaxed structure of Cr2BRu2. The functional is GGA-PBE.

Output
density of states at the Fermi level: 7.89 states/eV per cell
calculated total energy: -80.8 eV for the cell shown
ΔE to the lowest computed polymorph: 0.000 eV/f.u.
spin magnetization: 0.0 μB per cell
V: 13.0 A^3/atom
energy of formation: 0.81 eV/atom
SG: No. 127

abc: 6.791 6.791 2.814
angles: 90.00 90.00 90.00
Atoms (fractional coordinates):
Ru 0.139 0.639 0.500
Ru 0.639 0.861 0.500
Ru 0.861 0.361 0.500
Ru 0.361 0.139 0.500
B 0.000 0.000 0.000
B 0.500 0.500 0.000
Cr 0.338 0.838 0.000
Cr 0.838 0.662 0.000
Cr 0.662 0.162 0.000
Cr 0.162 0.338 0.000

[5]
This record from Alexandria describes a relaxed structure of Zr2TcPd. The functional is GGA-PBE.

Output
density of states at the Fermi level: 2.97 states/eV per cell
calculated total energy: -34.9 eV for the cell shown
ΔE to the lowest computed polymorph: 0.000 eV/f.u.
spin magnetization: 0.0 μB per cell
V: 18.4 A^3/atom
energy of formation: -0.57 eV/atom
SG: No. 123

abc: 3.327 3.327 6.639
angles: 90.00 90.00 90.00
Atoms (fractional coordinates):
Zr 0.000 0.000 0.762
Zr 0.000 0.000 0.238
Tc 0.500 0.500 0.000
Pd 0.500 0.500 0.500